Record 1
The following is a DFT calculation (PBE) of an optimized crystal structure of EuNbO2.

a = 2.868 Å, b = 2.868 Å, c = 6.072 Å
α = 90.00°, β = 90.00°, γ = 90.00°
Positions (direct):
Nb: 0.500 0.500 0.000
O: 0.000 0.000 0.209
Eu: 0.500 0.500 0.500
O: 0.000 0.000 0.791

Properties
- ΔE_f (raw): -1587.7 meV/atom
- DFT total energy: -9.1529 eV per atom

---

Record 2
The following is a DFT calculation (PBE) of an optimized crystal structure of Eu3Nb5O12.

a = 11.534 Å, b = 11.534 Å, c = 11.534 Å
α = 109.47°, β = 109.47°, γ = 109.47°
Positions (direct):
O: 0.881 0.582 0.901
Nb: 0.000 0.500 0.500
Nb: 0.250 0.375 0.625
Nb: 0.250 0.875 0.125
O: 0.401 0.381 0.582
Nb: 0.875 0.625 0.750
O: 0.798 0.480 0.381
Eu: 0.875 0.125 0.250
O: 0.681 0.202 0.582
Eu: 0.375 0.750 0.625
O: 0.798 0.319 0.918
O: 0.520 0.319 0.901
O: 0.319 0.520 0.401
O: 0.619 0.020 0.202
Nb: 0.750 0.125 0.875
O: 0.901 0.819 0.520
O: 0.918 0.819 0.798
O: 0.582 0.881 0.401
O: 0.980 0.599 0.181
Nb: 0.625 0.750 0.875
Eu: 0.125 0.875 0.750
Eu: 0.750 0.875 0.625
O: 0.582 0.702 0.681
O: 0.181 0.099 0.980
Nb: 0.125 0.750 0.375
O: 0.520 0.202 0.119
Nb: 0.000 0.500 0.000
O: 0.119 0.418 0.099
Nb: 0.625 0.875 0.250
O: 0.202 0.520 0.619
O: 0.082 0.181 0.202
Nb: 0.375 0.250 0.125
O: 0.401 0.020 0.319
O: 0.819 0.901 0.020
Nb: 0.750 0.625 0.375
Eu: 0.625 0.250 0.375
O: 0.599 0.619 0.418
O: 0.020 0.401 0.819
Eu: 0.250 0.625 0.875
Eu: 0.625 0.375 0.750
Nb: 0.000 0.000 0.000
Eu: 0.125 0.250 0.875
O: 0.619 0.599 0.918
O: 0.298 0.418 0.819
O: 0.702 0.582 0.181
Nb: 0.500 0.000 0.500
O: 0.099 0.181 0.480
O: 0.319 0.798 0.418
Nb: 0.125 0.375 0.250
Nb: 0.000 0.000 0.500
O: 0.082 0.901 0.381
Nb: 0.500 0.500 0.000
Nb: 0.375 0.125 0.750
O: 0.418 0.298 0.319
O: 0.381 0.980 0.798
O: 0.702 0.119 0.020
O: 0.918 0.099 0.619
O: 0.298 0.881 0.980
O: 0.099 0.918 0.119
Eu: 0.750 0.375 0.125
O: 0.381 0.401 0.082
Nb: 0.500 0.000 0.000
O: 0.119 0.702 0.520
O: 0.202 0.681 0.082
O: 0.901 0.082 0.881
O: 0.480 0.681 0.099
O: 0.681 0.480 0.599
Eu: 0.875 0.750 0.125
Nb: 0.875 0.250 0.625
O: 0.881 0.298 0.480
Eu: 0.375 0.625 0.250
O: 0.181 0.082 0.702
Eu: 0.250 0.125 0.375
O: 0.980 0.381 0.298
O: 0.819 0.918 0.298
O: 0.599 0.980 0.681
O: 0.418 0.119 0.599
O: 0.480 0.798 0.881
O: 0.020 0.619 0.702
Nb: 0.500 0.500 0.500

Properties
- ΔE_f (raw): -2403.9 meV/atom
- DFT total energy: -9.4375 eV per atom

---

Record 3
The following is a DFT calculation (PBE) of an optimized crystal structure of PrEu2NbO6.

a = 6.108 Å, b = 6.108 Å, c = 6.108 Å
α = 60.00°, β = 60.00°, γ = 60.00°
Positions (direct):
O: 0.268 0.268 0.732
Eu: 0.250 0.250 0.250
O: 0.268 0.732 0.732
Pr: 0.000 0.000 0.000
Nb: 0.500 0.500 0.500
O: 0.732 0.732 0.268
O: 0.268 0.732 0.268
O: 0.732 0.268 0.268
O: 0.732 0.268 0.732
Eu: 0.750 0.750 0.750

Properties
- ΔE_f (raw): -2768.6 meV/atom
- DFT total energy: -9.2833 eV per atom

---

Record 4
The following is a DFT calculation (PBE) of an optimized crystal structure of PrEuNbZnO6.

a = 5.700 Å, b = 5.700 Å, c = 5.700 Å
α = 60.00°, β = 60.00°, γ = 60.00°
Positions (direct):
O: 0.247 0.247 0.753
Zn: 0.500 0.500 0.500
O: 0.247 0.753 0.247
Nb: 0.000 0.000 0.000
O: 0.247 0.753 0.753
Eu: 0.250 0.250 0.250
O: 0.753 0.247 0.247
Pr: 0.750 0.750 0.750
O: 0.753 0.753 0.247
O: 0.753 0.247 0.753

Properties
- ΔE_f (raw): -2529.1 meV/atom
- DFT total energy: -8.1438 eV per atom

---

Record 5
The following is a DFT calculation (PBE) of an optimized crystal structure of Eu2ScNbO7.

a = 7.492 Å, b = 7.492 Å, c = 7.492 Å
α = 120.58°, β = 119.38°, γ = 90.04°
Positions (direct):
O: 0.338 0.073 0.661
O: 0.662 0.324 0.736
O: 0.097 0.347 0.750
Eu: 0.500 0.500 0.500
Sc: 0.000 0.500 0.000
O: 0.903 0.653 0.250
O: 0.682 0.932 0.750
O: 0.662 0.927 0.339
Eu: 0.500 0.000 0.000
O: 0.912 0.073 0.236
O: 0.379 0.629 0.750
Sc: 0.000 0.000 0.500
Eu: 0.000 0.500 0.500
O: 0.318 0.068 0.250
O: 0.912 0.676 0.839
Nb: 0.000 0.000 0.000
O: 0.088 0.324 0.161
O: 0.088 0.927 0.764
Eu: 0.500 0.500 0.000
Nb: 0.500 0.000 0.500
O: 0.338 0.676 0.264
O: 0.621 0.371 0.250

Properties
- ΔE_f (raw): -2923.7 meV/atom
- DFT total energy: -9.4380 eV per atom

---

Record 6
The following is a DFT calculation (PBE) of an optimized crystal structure of SmEu2NbO6.

a = 6.037 Å, b = 6.037 Å, c = 6.037 Å
α = 60.00°, β = 60.00°, γ = 60.00°
Positions (direct):
O: 0.735 0.265 0.265
Nb: 0.500 0.500 0.500
Sm: 0.000 0.000 0.000
O: 0.265 0.735 0.265
Eu: 0.250 0.250 0.250
O: 0.735 0.735 0.265
O: 0.265 0.735 0.735
Eu: 0.750 0.750 0.750
O: 0.735 0.265 0.735
O: 0.265 0.265 0.735

Properties
- ΔE_f (raw): -2846.5 meV/atom
- DFT total energy: -9.3552 eV per atom

---

Record 7
The following is a DFT calculation (PBE) of an optimized crystal structure of SmEuTiNbO6.

a = 5.657 Å, b = 5.657 Å, c = 5.657 Å
α = 60.00°, β = 60.00°, γ = 60.00°
Positions (direct):
O: 0.746 0.254 0.254
O: 0.254 0.746 0.746
O: 0.254 0.254 0.746
Sm: 0.250 0.250 0.250
O: 0.746 0.746 0.254
Nb: 0.000 0.000 0.000
O: 0.254 0.746 0.254
Eu: 0.750 0.750 0.750
O: 0.746 0.254 0.746
Ti: 0.500 0.500 0.500

Properties
- ΔE_f (raw): -2837.9 meV/atom
- DFT total energy: -9.1086 eV per atom

---

Record 8
The following is a DFT calculation (PBE) of an optimized crystal structure of Eu2NbSnO6.

a = 5.809 Å, b = 5.809 Å, c = 5.809 Å
α = 60.00°, β = 60.00°, γ = 60.00°
Positions (direct):
O: 0.750 0.750 0.250
O: 0.750 0.250 0.750
O: 0.250 0.750 0.750
O: 0.750 0.250 0.250
O: 0.250 0.750 0.250
Eu: 0.250 0.250 0.250
Eu: 0.750 0.750 0.750
Nb: 0.000 0.000 0.000
Sn: 0.500 0.500 0.500
O: 0.250 0.250 0.750

Properties
- ΔE_f (raw): -2340.0 meV/atom
- DFT total energy: -8.7770 eV per atom